Computed, not measured: crystalline BeFePbF2 at its relaxed geometry at the PBE+U level of DFT.

abc: 3.5794 7.2639 3.5794
angles: 90.00 90.00 90.00
Last column: magnetic moment on the atom in μB.
Fractional positions:
Fe: 0.5000 0.5000 0.5000  3.31
Be: 0.0000 0.0000 0.0000  0.00
F: 0.5000 0.0000 0.0000  0.00
F: 0.0000 0.0000 0.5000  0.00
Pb: 0.0000 0.5000 0.0000  -0.10

## Properties
**Calculated volume**: 18.6 Å³/atom
**Space-group type**: P4/mmm
**E**: -4.2211 eV/atom